DFT (PBE) results for FeAuSe2Br after structural relaxation.

Properties
Formation energy without anion corrections (eV/atom): 0.485
DFT total energy (eV/cell): -17.96
E above lowest polymorph (eV/atom): 0.000

a b c (Å): 4.5355 4.5355 5.3495
angles (deg): 90.00 90.00 90.00
Closest atoms and distances in Å follow each position.
Fractional coordinates of all 5 atoms:
Br: 0.0000 0.0000 0.5000  2 Fe 2.67
Au: 0.5000 0.5000 0.5000  4 Br 3.21, 8 Se 3.51
Fe: 0.0000 0.0000 0.0000  4 Se 2.27
Se: 0.0000 0.5000 0.0000  2 Fe 2.27
Se: 0.5000 0.0000 0.0000  2 Fe 2.27